Record 1
# TbCeSm2Bi5 | the Alexandria database | GGA-PBE | relaxed
# DFT formation energy ... -0.33 kcal/mol of atoms
data_TbCeSm2Bi5
_chemical_formula_sum 'Tb1 Ce1 Sm2 Bi5'
_cell_length_a 5.5587
_cell_length_b 5.5587
_cell_length_c 11.9066
_cell_angle_alpha 90.00
_cell_angle_beta 90.00
_cell_angle_gamma 90.00
_symmetry_space_group_name_H-M 'P 4/m m m'
_symmetry_Int_Tables_number 123
_symmetry_space_group_name_Hall '-P 4 2'
loop_
_atom_site_label
_atom_site_fract_x
_atom_site_fract_y
_atom_site_fract_z
_atom_site_occupancy
Tb1 0.0000 0.0000 0.0000 1
Ce1 0.0000 0.0000 0.5000 1
Sm1 0.5000 0.5000 0.2734 1
Bi1 0.0000 0.0000 0.2455 1
Bi2 0.0000 0.5000 0.5000 1
Bi3 0.5000 0.5000 0.0000 1



Record 2
# Tb2CeSmBi4 | the Alexandria database | GGA-PBE | relaxed
# DFT formation energy ... -20.05 kcal/mol of atoms
data_Tb2CeSmBi4
_chemical_formula_sum 'Tb2 Ce1 Sm1 Bi4'
_cell_length_a 7.8518
_cell_length_b 4.5356
_cell_length_c 7.8581
_cell_angle_alpha 90.00
_cell_angle_beta 109.41
_cell_angle_gamma 90.00
_symmetry_space_group_name_H-M 'P 1 2/m 1'
_symmetry_Int_Tables_number 10
loop_
_symmetry_equiv_pos_as_xyz
'x,y,z'
'-x,-y,-z'
'-x,y,-z'
'x,-y,z'
loop_
_atom_site_label
_atom_site_fract_x
_atom_site_fract_y
_atom_site_fract_z
_atom_site_occupancy
Tb1 0.0000 0.0000 0.0000 1
Tb2 0.0000 0.5000 0.5000 1
Ce1 0.5000 0.0000 0.5000 1
Sm1 0.5000 0.5000 0.0000 1
Bi1 0.2450 0.5000 0.2479 1
Bi2 0.2456 0.0000 0.7486 1